Entry 1:
# Rb2CuPtBr6 | Alexandria | PBE-GGA | relaxed
# **Energy above the most stable polymorph in this dataset**: 11 meV/atom
# **Calculated density**: 5.0 g cm⁻³
# **Energy relative to the elements, uncorrected**: -0.832 eV per atom
# **DOS at the Fermi energy**: 3.88 states/eV/f.u.
# **Total moment**: 0.01 Bohr magnetons per cell
data_Rb2CuPtBr6
_chemical_formula_sum 'Rb12 Cu6 Pt6 Br36'
_space_group_name_H-M_alt 'R -3 m'
_space_group_IT_number 166
_space_group_name_Hall '-R 3 2"'
_cell_length_a 7.4220
_cell_length_b 7.4220
_cell_length_c 37.8606
_cell_angle_alpha 90.00
_cell_angle_beta 90.00
_cell_angle_gamma 120.00
loop_
_atom_site_label
_atom_site_type_symbol
_atom_site_fract_x
_atom_site_fract_y
_atom_site_fract_z
Rb1 Rb 0.0000 0.0000 0.1196
Rb2 Rb 0.0000 0.0000 0.2982
Cu1 Cu 0.0000 0.0000 0.4144
Pt1 Pt 0.0000 0.0000 0.0000
Pt2 Pt 0.0000 0.0000 0.5000
Br1 Br 0.0010 0.5005 0.7071
Br2 Br 0.0105 0.5053 0.1259

Entry 2:
# BiSb2RhBr | Alexandria | PBE-GGA | relaxed
# **Calculated density**: 6.7 g cm⁻³
# **Energy relative to the elements, uncorrected**: 1.316 eV per atom
# **DOS at the Fermi energy**: 2.87 states/eV/f.u.
# **Total moment**: 0.00 Bohr magnetons per cell
data_BiSb2RhBr
_chemical_formula_sum 'Bi1 Sb2 Rh1 Br1'
_space_group_name_H-M_alt 'P 4/m m m'
_space_group_IT_number 123
_space_group_name_Hall '-P 4 2'
_cell_length_a 5.369
_cell_length_b 5.369
_cell_length_c 5.500
_cell_angle_alpha 90.00
_cell_angle_beta 90.00
_cell_angle_gamma 90.00
loop_
_atom_site_label
_atom_site_type_symbol
_atom_site_fract_x
_atom_site_fract_y
_atom_site_fract_z
Bi1 Bi 0.000 0.000 0.000
Sb1 Sb 0.000 0.500 0.500
Rh1 Rh 0.500 0.500 0.000
Br1 Br 0.000 0.000 0.500

Entry 3:
# HgHIr2Se | Alexandria | PBE-GGA | relaxed
# **Calculated density**: 9.3 g cm⁻³
# **DOS at the Fermi energy**: 2.12 states/eV/f.u.
# **Total moment**: 1.08 Bohr magnetons per cell
# **Uncorrected energy**: -3.44 eV/atom
data_HgHIr2Se
_chemical_formula_sum 'Hg1 H1 Ir2 Se1'
_space_group_name_H-M_alt 'P 4/m m m'
_space_group_IT_number 123
_space_group_name_Hall '-P 4 2'
_cell_length_a 4.554
_cell_length_b 4.554
_cell_length_c 5.726
_cell_angle_alpha 90.00
_cell_angle_beta 90.00
_cell_angle_gamma 90.00
loop_
_atom_site_label
_atom_site_type_symbol
_atom_site_fract_x
_atom_site_fract_y
_atom_site_fract_z
Hg1 Hg 0.000 0.000 0.000
H1 H 0.500 0.500 0.000
Ir1 Ir 0.000 0.500 0.500
Se1 Se 0.000 0.000 0.500

Entry 4:
# KCSN | Alexandria | PBE-GGA | relaxed
# **Energy above the most stable polymorph in this dataset**: 13 meV/atom
# **Calculated density**: 1.7 g cm⁻³
# **Energy relative to the elements, uncorrected**: -0.421 eV per atom
# **DOS at the Fermi energy**: 0.00 states/eV/f.u.
# **Total moment**: 0.00 Bohr magnetons per cell
data_KCSN
_chemical_formula_sum 'K4 C4 S4 N4'
_space_group_name_H-M_alt 'I m a 2'
_space_group_IT_number 46
_space_group_name_Hall 'I 2 -2a'
_cell_length_a 8.038
_cell_length_b 7.064
_cell_length_c 6.638
_cell_angle_alpha 90.00
_cell_angle_beta 90.00
_cell_angle_gamma 90.00
loop_
_atom_site_label
_atom_site_type_symbol
_atom_site_fract_x
_atom_site_fract_y
_atom_site_fract_z
K1 K 0.000 0.000 0.000
C1 C 0.250 0.014 0.439
S1 S 0.250 0.636 0.128
N1 N 0.250 0.120 0.300

Entry 5:
# SrLi4Ag | Alexandria | PBE-GGA | relaxed
# **Energy above the most stable polymorph in this dataset**: 40 meV/atom
# **Calculated density**: 2.5 g cm⁻³
# **DOS at the Fermi energy**: 3.09 states/eV/f.u.
# **Total moment**: 0.00 Bohr magnetons per cell
# **Energy relative to the elements**: -0.04 eV per atom
data_SrLi4Ag
_chemical_formula_sum 'Sr4 Li16 Ag4'
_space_group_name_H-M_alt 'C 1 2/m 1'
_space_group_IT_number 12
_space_group_name_Hall '-C 2y'
_cell_length_a 15.219
_cell_length_b 7.472
_cell_length_c 5.314
_cell_angle_alpha 90.00
_cell_angle_beta 102.11
_cell_angle_gamma 90.00
loop_
_atom_site_label
_atom_site_type_symbol
_atom_site_fract_x
_atom_site_fract_y
_atom_site_fract_z
Sr1 Sr 0.224 0.000 0.153
Li1 Li 0.000 0.196 0.000
Li2 Li 0.094 0.190 0.564
Li3 Li 0.133 0.500 0.265
Ag1 Ag 0.048 0.500 0.763

Entry 6:
# HfNbV2 | Alexandria | PBE-GGA | relaxed
# **Energy above the most stable polymorph in this dataset**: 243 meV/atom
# **Calculated density**: 8.9 g cm⁻³
# **DOS at the Fermi energy**: 5.61 states/eV/f.u.
# **Total moment**: 0.00 Bohr magnetons per cell
# **Energy relative to the elements**: 0.33 eV per atom
data_HfNbV2
_chemical_formula_sum 'Hf3 Nb3 V6'
_space_group_name_H-M_alt 'R -3 m'
_space_group_IT_number 166
_space_group_name_Hall '-R 3 2"'
_cell_length_a 3.0744
_cell_length_b 3.0744
_cell_length_c 25.4133
_cell_angle_alpha 90.00
_cell_angle_beta 90.00
_cell_angle_gamma 120.00
loop_
_atom_site_label
_atom_site_type_symbol
_atom_site_fract_x
_atom_site_fract_y
_atom_site_fract_z
Hf1 Hf 0.0000 0.0000 0.0000
Nb1 Nb 0.0000 0.0000 0.5000
V1 V 0.0000 0.0000 0.2437